Record 1
P4RhW | PBE | optimized geometry

Structure (POSCAR):
```
P4RhW
1.0
0.000 3.465 3.465
3.465 0.000 3.465
3.465 3.465 0.000
P Rh W
4 1 1
direct
0.125 0.125 0.125
0.125 0.125 0.625
0.125 0.625 0.125
0.625 0.125 0.125
0.500 0.500 0.500
0.750 0.750 0.750
```

## Properties
Total magnetic moment = 0.00 μB per cell
Formation energy from the elements = 745 meV/atom

***

Record 2
KNbCu2Br8 | PBE | optimized geometry

Structure (POSCAR):
```
KNbCu2Br8
1.0
6.607 0.000 0.000
0.321 7.595 0.000
0.906 2.953 8.151
K Nb Cu Br
1 1 2 8
direct
0.000 0.000 0.000
0.000 0.500 0.500
0.474 0.522 0.842
0.526 0.478 0.158
0.117 0.467 0.784
0.157 0.823 0.382
0.336 0.351 0.427
0.444 0.776 0.957
0.556 0.224 0.043
0.664 0.649 0.573
0.843 0.177 0.618
0.883 0.533 0.216
```

## Properties
Raw formation energy = -0.802 eV per atom
Total magnetic moment = 0.08 μB per cell

***

Record 3
Mn2SiMo | PBE | optimized geometry

Structure (POSCAR):
```
Mn2SiMo
1.0
3.728 0.000 0.000
0.000 3.728 0.000
0.000 0.000 3.727
Mn Si Mo
2 1 1
direct
0.000 0.500 0.000
0.500 0.000 0.000
0.000 0.000 0.500
0.500 0.500 0.500
```

## Properties
Raw formation energy = -0.131 eV per atom
Total magnetic moment = 3.78 μB per cell

***

Record 4
Te2MoOsN | PBE | optimized geometry

Structure (POSCAR):
```
Te2MoOsN
1.0
5.321 0.000 0.000
0.000 5.321 0.000
0.000 0.000 3.717
Te Mo Os N
2 1 1 1
direct
0.000 0.500 0.000
0.500 0.000 0.000
0.000 0.000 0.000
0.500 0.500 0.500
0.000 0.000 0.500
```

## Properties
Energy above the lowest structure with this stoichiometry = 160.6 kJ/mol of formula units
Raw formation energy = 1.115 eV per atom
Total magnetic moment = 1.03 μB per cell

***

Record 5
EuGdZnNi | PBE | optimized geometry

Structure (POSCAR):
```
EuGdZnNi
1.0
7.112 0.000 0.000
0.000 7.112 0.000
0.000 0.000 7.112
Eu Gd Zn Ni
4 4 4 4
direct
0.000 0.000 0.000
0.000 0.500 0.500
0.500 0.000 0.500
0.500 0.500 0.000
0.000 0.000 0.500
0.000 0.500 0.000
0.500 0.000 0.000
0.500 0.500 0.500
0.250 0.250 0.750
0.250 0.750 0.250
0.750 0.250 0.250
0.750 0.750 0.750
0.250 0.250 0.250
0.250 0.750 0.750
0.750 0.250 0.750
0.750 0.750 0.250
```

## Properties
Total magnetic moment = 0.66 μB per cell
Formation energy from the elements = -200 meV/atom

***

Record 6
AsPbW | PBE | optimized geometry

Structure (POSCAR):
```
AsPbW
1.0
4.387 0.000 0.000
-2.194 3.799 0.000
0.000 0.000 3.817
As Pb W
1 1 1
direct
0.000 0.000 0.000
0.667 0.333 0.500
0.333 0.667 0.000
```

## Properties
Energy above the lowest structure with this stoichiometry = 87.6 kJ/mol of formula units
Total magnetic moment = 0.00 μB per cell
Formation energy from the elements = 671 meV/atom

***

Record 7
LiZr2Pb | PBE | optimized geometry

Structure (POSCAR):
```
LiZr2Pb
1.0
5.908 0.000 0.000
0.000 9.020 0.000
0.000 0.000 3.253
Li Zr Pb
2 4 2
direct
0.000 0.000 0.000
0.500 0.500 0.000
0.250 0.250 0.500
0.250 0.750 0.500
0.750 0.250 0.500
0.750 0.750 0.500
0.000 0.500 0.000
0.500 0.000 0.000
```

## Properties
Total magnetic moment = 0.00 μB per cell
Formation energy from the elements = -17 meV/atom

***

Record 8
TcSb2As | PBE | optimized geometry

Structure (POSCAR):
```
TcSb2As
1.0
4.924 0.000 0.000
0.000 4.924 0.000
0.000 0.000 3.329
Tc Sb As
1 2 1
direct
0.000 0.000 0.000
0.000 0.500 0.500
0.500 0.000 0.500
0.500 0.500 0.000
```

## Properties
Energy above the lowest structure with this stoichiometry = 186.1 kJ/mol of formula units
Raw formation energy = 0.535 eV per atom
Total magnetic moment = 0.00 μB per cell

***

Record 9
SmGd2Zn | PBE | optimized geometry

Structure (POSCAR):
```
SmGd2Zn
1.0
4.780 0.000 0.000
0.000 4.780 0.000
0.000 0.000 4.832
Sm Gd Zn
1 2 1
direct
0.000 0.000 0.000
0.000 0.500 0.500
0.500 0.000 0.500
0.500 0.500 0.000
```

## Properties
Energy above the lowest structure with this stoichiometry = 41.4 kJ/mol of formula units
Total magnetic moment = 15.34 μB per cell
Formation energy from the elements = -52 meV/atom

***

Record 10
Be2CdNi2 | PBE | optimized geometry

Structure (POSCAR):
```
Be2CdNi2
1.0
6.390 0.000 0.000
0.000 6.390 0.000
0.000 0.000 2.648
Be Cd Ni
4 2 4
direct
0.124 0.376 0.000
0.376 0.876 0.000
0.624 0.124 0.000
0.876 0.624 0.000
0.000 0.000 0.000
0.500 0.500 0.000
0.160 0.660 0.500
0.340 0.160 0.500
0.660 0.840 0.500
0.840 0.340 0.500
```

## Properties
Energy above the lowest structure with this stoichiometry = 0.0 kJ/mol of formula units
Total magnetic moment = 0.00 μB per cell
Formation energy from the elements = -156 meV/atom

***

Record 11
LiAc2DyS4 | PBE | optimized geometry

Structure (POSCAR):
```
LiAc2DyS4
1.0
7.052 0.000 0.000
0.000 4.126 0.000
-2.406 0.000 6.726
Li Ac Dy S
1 2 1 4
direct
0.000 0.000 0.000
0.500 0.000 0.500
0.500 0.500 0.000
0.000 0.500 0.500
0.220 0.000 0.742
0.222 0.500 0.242
0.778 0.500 0.758
0.780 0.000 0.258
```

## Properties
Raw formation energy = -1.878 eV per atom
Total magnetic moment = 0.00 μB per cell

***

Record 12
BeIn2Os | PBE | optimized geometry

Structure (POSCAR):
```
BeIn2Os
1.0
3.978 0.000 0.000
0.000 3.508 0.000
0.000 0.000 10.035
Be In Os
2 4 2
direct
0.000 0.000 0.000
0.000 0.500 0.500
0.000 0.000 0.288
0.000 0.500 0.788
0.500 0.000 0.603
0.500 0.500 0.103
0.500 0.000 0.886
0.500 0.500 0.386
```

## Properties
Total magnetic moment = 0.00 μB per cell
Formation energy from the elements = 246 meV/atom

***

Record 13
Ac6Pr2Sm5 | PBE | optimized geometry

Structure (POSCAR):
```
Ac6Pr2Sm5
1.0
11.498 0.000 0.000
0.000 23.847 0.000
0.000 0.000 3.786
Ac Pr Sm
12 4 10
direct
0.022 0.111 0.000
0.146 0.386 0.000
0.166 0.632 0.500
0.334 0.132 0.500
0.354 0.886 0.000
0.478 0.611 0.000
0.522 0.389 0.000
0.646 0.114 0.000
0.666 0.868 0.500
0.834 0.368 0.500
0.854 0.614 0.000
0.978 0.889 0.000
0.162 0.769 0.000
0.338 0.269 0.000
0.662 0.731 0.000
0.838 0.231 0.000
0.000 0.500 0.500
0.088 0.249 0.500
0.167 0.996 0.500
0.333 0.496 0.500
0.412 0.749 0.500
0.500 0.000 0.500
0.588 0.251 0.500
0.667 0.504 0.500
0.833 0.004 0.500
0.912 0.751 0.500
```

## Properties
Total magnetic moment = 0.00 μB per cell
Formation energy from the elements = 150 meV/atom

***

Record 14
RbScCu2Te4 | PBE | optimized geometry

Structure (POSCAR):
```
RbScCu2Te4
1.0
6.404 0.000 0.000
0.000 9.192 0.000
0.000 0.000 9.944
Rb Sc Cu Te
2 2 4 8
direct
0.000 0.000 0.000
0.500 0.500 0.500
0.000 0.500 0.000
0.500 0.000 0.500
0.000 0.129 0.500
0.000 0.871 0.500
0.500 0.371 0.000
0.500 0.629 0.000
0.250 0.146 0.313
0.250 0.354 0.813
0.250 0.646 0.187
0.250 0.854 0.687
0.750 0.146 0.687
0.750 0.354 0.187
0.750 0.646 0.813
0.750 0.854 0.313
```

## Properties
Raw formation energy = -0.379 eV per atom
Total magnetic moment = 0.00 μB per cell

***

Record 15
MnBiAu2 | PBE | optimized geometry

Structure (POSCAR):
```
MnBiAu2
1.0
4.495 0.000 0.000
-2.248 3.893 0.000
0.000 0.000 14.848
Mn Bi Au
3 3 6
direct
0.000 0.000 0.000
0.333 0.667 0.667
0.667 0.333 0.333
0.000 0.000 0.500
0.333 0.667 0.167
0.667 0.333 0.833
0.000 0.000 0.279
0.000 0.000 0.721
0.333 0.667 0.388
0.333 0.667 0.945
0.667 0.333 0.055
0.667 0.333 0.612
```

## Properties
Total magnetic moment = 12.73 μB per cell
Formation energy from the elements = 78 meV/atom

***

Record 16
Cu3PAu | PBE | optimized geometry

Structure (POSCAR):
```
Cu3PAu
1.0
4.707 0.000 0.000
0.000 4.707 0.000
0.000 0.000 4.707
Cu P Au
3 1 1
direct
0.000 0.000 0.500
0.000 0.500 0.000
0.500 0.000 0.000
0.500 0.500 0.500
0.000 0.000 0.000
```

## Properties
Energy above the lowest structure with this stoichiometry = 434.5 kJ/mol of formula units
Total magnetic moment = 0.00 μB per cell
Formation energy from the elements = 1095 meV/atom

***

Record 17
SrCu3Sn4O12 | PBE | optimized geometry

Structure (POSCAR):
```
SrCu3Sn4O12
1.0
-3.900 3.900 3.900
3.900 -3.900 3.900
3.900 3.900 -3.900
Sr Cu Sn O
1 3 4 12
direct
0.000 0.000 0.000
0.000 0.500 0.500
0.500 0.000 0.500
0.500 0.500 0.000
0.000 0.000 0.500
0.000 0.500 0.000
0.500 0.000 0.000
0.500 0.500 0.500
0.138 0.829 0.309
0.171 0.309 0.481
0.171 0.691 0.862
0.309 0.138 0.829
0.309 0.481 0.171
0.481 0.171 0.309
0.519 0.829 0.691
0.691 0.519 0.829
0.691 0.862 0.171
0.829 0.309 0.138
0.829 0.691 0.519
0.862 0.171 0.691
```

## Properties
Raw formation energy = -1.419 eV per atom
Total magnetic moment = 3.00 μB per cell

***

Record 18
Sr3Sn2Sb4 | PBE | optimized geometry

Structure (POSCAR):
```
Sr3Sn2Sb4
1.0
7.461 -6.175 0.000
7.461 6.175 0.000
-0.416 0.000 6.835
Sr Sn Sb
6 4 8
direct
0.105 0.895 0.750
0.245 0.499 0.084
0.499 0.245 0.584
0.501 0.755 0.416
0.755 0.501 0.916
0.895 0.105 0.250
0.088 0.337 0.517
0.337 0.088 0.017
0.663 0.912 0.983
0.912 0.663 0.483
0.055 0.252 0.910
0.252 0.055 0.410
0.265 0.566 0.595
0.434 0.735 0.905
0.566 0.265 0.095
0.735 0.434 0.405
0.748 0.945 0.590
0.945 0.748 0.090
```

## Properties
Raw formation energy = -0.601 eV per atom
Total magnetic moment = 0.00 μB per cell

***

Record 19
AcTh2Pd | PBE | optimized geometry

Structure (POSCAR):
```
AcTh2Pd
1.0
3.869 0.000 0.000
-1.935 3.351 0.000
0.000 0.000 29.964
Ac Th Pd
3 6 3
direct
0.000 0.000 0.000
0.333 0.667 0.667
0.667 0.333 0.333
0.000 0.000 0.565
0.000 0.000 0.770
0.333 0.667 0.232
0.333 0.667 0.436
0.667 0.333 0.103
0.667 0.333 0.899
0.000 0.000 0.168
0.333 0.667 0.835
0.667 0.333 0.501
```

## Properties
Energy above the lowest structure with this stoichiometry = 32.4 kJ/mol of formula units
Total magnetic moment = 0.01 μB per cell
Formation energy from the elements = -162 meV/atom

***

Record 20
Co3ReAu | PBE | optimized geometry

Structure (POSCAR):
```
Co3ReAu
1.0
4.560 0.000 0.000
0.000 4.560 0.000
0.000 0.000 4.560
Co Re Au
3 1 1
direct
0.000 0.000 0.500
0.000 0.500 0.000
0.500 0.000 0.000
0.500 0.500 0.500
0.000 0.000 0.000
```

## Properties
Energy above the lowest structure with this stoichiometry = 341.2 kJ/mol of formula units
Total magnetic moment = 8.93 μB per cell
Formation energy from the elements = 2149 meV/atom